No. 1
This record from Alexandria describes crystalline NdDy2 at its relaxed geometry. The functional is GGA-PBE.

```
NdDy2
1.0
-1.795 1.795 7.609
1.795 -1.795 7.609
1.795 1.795 -7.609
Nd Dy
1 2
Cartesian
0.000 0.000 0.000
0.000 0.000 5.046
0.000 0.000 10.171
```

## Properties
calculated total energy: -4.637 eV per atom
space group: No. 139
formation enthalpy at 0 K: 0.021 eV per atom
offset from the most stable computed form: 0.0244 eV/atom


No. 2
This record from Alexandria describes crystalline Nd3Dy8 at its relaxed geometry. The functional is GGA-PBE.

```
Nd3Dy8
1.0
4.949 2.857 4.283
-4.949 2.857 4.283
0.000 -5.714 4.283
Nd Dy
3 8
Cartesian
-2.474 -1.429 4.283
-2.474 1.429 8.565
0.000 2.857 4.283
-3.769 -1.215 7.131
-0.832 -3.872 5.717
-2.937 2.657 5.717
0.000 0.000 4.734
0.000 0.000 8.114
2.937 -2.657 7.131
0.832 3.872 7.131
3.769 1.215 5.717
```

## Properties
calculated total energy: -4.096 eV per atom
space group: No. 148
formation enthalpy at 0 K: 0.551 eV per atom
offset from the most stable computed form: 0.5346 eV/atom


No. 3
This record from Alexandria describes crystalline Nd7Dy3 at its relaxed geometry. The functional is GGA-PBE.

```
Nd7Dy3
1.0
11.314 0.000 0.000
-5.657 9.798 0.000
0.000 0.000 6.217
Nd Dy
14 6
Cartesian
-2.369 5.164 0.000
0.000 2.289 0.771
-3.675 8.653 0.771
1.982 1.144 3.880
0.000 6.532 1.219
2.369 5.164 0.000
0.000 9.267 0.000
5.657 0.531 3.109
3.288 4.634 3.109
5.657 3.266 4.328
3.675 8.653 0.771
9.331 1.144 3.880
5.657 7.509 3.880
8.025 4.634 3.109
0.000 4.308 3.815
-1.926 7.644 3.815
3.731 2.154 0.706
1.926 7.644 3.815
7.583 2.154 0.706
5.657 5.490 0.706
```

## Properties
calculated total energy: -4.548 eV per atom
space group: No. 186
formation enthalpy at 0 K: 0.170 eV per atom
offset from the most stable computed form: 0.1561 eV/atom